The following is a PBE-GGA calculation of a relaxed CoBiMo2 crystal, from the Open Quantum Materials Database.

Geometry as extended XYZ:
```
4
Lattice="0.0000 3.2038 3.2038 3.2038 0.0000 3.2038 3.2038 3.2038 0.0000" Properties=species:S:1:pos:R:3 pbc="T T T"
Bi 3.2038 3.2038 3.2038
Co 1.6019 1.6019 1.6019
Mo 0.0000 0.0000 0.0000
Mo 4.8057 4.8057 4.8057
```

Summary:
Electronic total energy = -7.590 eV/atom

The following is a PBE-GGA calculation of a relaxed ReSnB4 crystal, from the Open Quantum Materials Database.

Geometry as extended XYZ:
```
6
Lattice="-1.5200 1.4982 -2.0730 0.0685 -2.9738 -0.0643 -7.1230 -0.2727 5.0256" Properties=species:S:1:pos:R:3 pbc="T T T"
B -2.3731 -0.0454 -0.4279
B -1.8436 -1.5361 0.2416
B -6.7309 -0.2122 2.6467
B -6.2014 -1.7029 3.3163
Re 0.0000 0.0000 0.0000
Sn -3.5615 -0.1363 2.5128
```

Summary:
Electronic total energy = -6.903 eV/atom